[1]
Entry from the Alexandria database: Tb16Pr7Tm6 after structural relaxation (GGA-PBE).

abc: 11.246 11.246 11.246
angles: 60.00 60.00 60.00
Positions (direct):
Tm  0.259  0.741  0.741
Tm  0.741  0.259  0.741
Tm  0.259  0.259  0.741
Tm  0.741  0.741  0.259
Tm  0.741  0.259  0.259
Tm  0.259  0.741  0.259
Tb  0.872  0.872  0.383
Tb  0.350  0.350  0.950
Tb  0.650  0.650  0.050
Tb  0.128  0.617  0.128
Tb  0.128  0.128  0.128
Tb  0.350  0.950  0.350
Tb  0.872  0.872  0.872
Tb  0.050  0.650  0.650
Tb  0.383  0.872  0.872
Tb  0.650  0.650  0.650
Tb  0.872  0.383  0.872
Tb  0.350  0.350  0.350
Tb  0.650  0.050  0.650
Tb  0.617  0.128  0.128
Tb  0.128  0.128  0.617
Tb  0.950  0.350  0.350
Pr  0.000  0.500  0.000
Pr  0.000  0.000  0.000
Pr  0.000  0.500  0.500
Pr  0.000  0.000  0.500
Pr  0.500  0.000  0.500
Pr  0.500  0.000  0.000
Pr  0.500  0.500  0.000

Values from the calculation:
Energy relative to the elements = 7.74 eV per formula unit
Final energy = -4.367 eV/atom
Space-group type = No. 225

[2]
Entry from the Alexandria database: Tb5PmTl3 after structural relaxation (GGA-PBE).

abc: 6.770 9.443 9.442
angles: 120.00 90.00 90.00
Last column: magnetic moment on the atom in μB.
Positions (direct):
Tb  0.750  0.331  0.000  0.14
Tb  0.250  0.000  0.669  0.14
Tb  0.000  0.333  0.667  0.20
Tb  0.500  0.333  0.667  0.20
Tb  0.750  0.669  0.669  0.14
Tb  0.500  0.667  0.333  0.20
Tb  0.250  0.331  0.331  0.14
Tb  0.250  0.669  0.000  0.14
Tb  0.000  0.667  0.333  0.20
Tb  0.750  0.000  0.331  0.14
Tl  0.250  0.000  0.338  0.00
Tl  0.250  0.662  0.662  0.00
Tl  0.750  0.338  0.338  0.00
Tl  0.250  0.338  0.000  0.00
Tl  0.750  0.000  0.662  0.00
Tl  0.750  0.662  0.000  0.00
Pm  0.500  0.000  0.000  0.17
Pm  0.000  0.000  0.000  0.17

Values from the calculation:
Energy relative to the elements = -2.38 eV per formula unit
Final energy = -4.153 eV/atom
Space-group type = No. 193

[3]
Entry from the Alexandria database: Na2Tl3In2 after structural relaxation (GGA-PBE).

abc: 4.851 5.820 7.716
angles: 98.09 90.00 114.63
Positions (direct):
Na  0.426  0.852  0.279
Na  0.574  0.148  0.721
Tl  0.000  0.000  0.000
Tl  0.712  0.423  0.151
Tl  0.288  0.577  0.849
In  0.855  0.711  0.560
In  0.145  0.289  0.440

Values from the calculation:
Energy relative to the elements = -0.53 eV per formula unit
Final energy = -2.249 eV/atom
Energy relative to the lowest polymorph listed for this composition = 0.0 meV per atom
Space-group type = No. 12

[4]
Entry from the Alexandria database: Ho3ScS after structural relaxation (GGA-PBE).

abc: 5.214 5.214 5.214
angles: 90.00 90.00 90.00
Positions (direct):
Sc  0.500  0.500  0.500
Ho  0.000  0.000  0.500
Ho  0.500  0.000  0.000
Ho  0.000  0.500  0.000
S  0.000  0.000  0.000

Values from the calculation:
Final energy = -5.433 eV/atom
Space-group type = No. 221
Formation energy from raw total energies = -594 meV/atom

[5]
Entry from the Alexandria database: Ca6In3Pb after structural relaxation (GGA-PBE).

abc: 5.481 9.604 12.162
angles: 106.85 90.00 90.00
Positions (direct):
Pb  0.250  0.954  0.623
Pb  0.750  0.046  0.377
Ca  0.750  0.756  0.496
Ca  0.750  0.354  0.331
Ca  0.250  0.469  0.087
Ca  0.750  0.895  0.108
Ca  0.250  0.646  0.669
Ca  0.750  0.858  0.815
Ca  0.250  0.244  0.504
Ca  0.250  0.105  0.892
Ca  0.250  0.838  0.318
Ca  0.750  0.531  0.913
Ca  0.750  0.162  0.682
Ca  0.250  0.142  0.185
In  0.250  0.385  0.787
In  0.750  0.231  0.034
In  0.250  0.522  0.373
In  0.250  0.769  0.966
In  0.750  0.615  0.213
In  0.750  0.478  0.627

Values from the calculation:
Energy relative to the elements = -4.27 eV per formula unit
Final energy = -2.821 eV/atom
Space-group type = No. 11

[6]
Entry from the Alexandria database: SnPAuF2 after structural relaxation (GGA-PBE).

abc: 4.183 5.644 4.183
angles: 90.00 90.00 90.00
Last column: magnetic moment on the atom in μB.
Positions (direct):
Au  0.000  0.500  0.000  0.02
F  0.500  0.000  0.000  0.02
F  0.000  0.000  0.500  0.01
P  0.500  0.500  0.500  0.46
Sn  0.000  0.000  0.000  0.01

Values from the calculation:
Final energy = -4.017 eV/atom
Space-group type = No. 123
Formation energy from raw total energies = -731 meV/atom

[7]
Entry from the Alexandria database: LaSm2Zn9 after structural relaxation (GGA-PBE).

abc: 5.550 5.550 9.268
angles: 72.58 72.58 60.00
Positions (direct):
Sm  0.142  0.142  0.575
Sm  0.858  0.858  0.425
Zn  0.415  0.415  0.247
Zn  0.415  0.923  0.247
Zn  0.335  0.335  0.995
Zn  0.665  0.665  0.005
Zn  0.077  0.585  0.753
Zn  0.500  0.500  0.500
Zn  0.585  0.077  0.753
Zn  0.923  0.415  0.247
Zn  0.585  0.585  0.753
La  0.000  0.000  0.000

Values from the calculation:
Energy relative to the elements = -3.79 eV per formula unit
Final energy = -2.468 eV/atom
Space-group type = No. 166

[8]
Entry from the Alexandria database: ErAg3 after structural relaxation (GGA-PBE).

abc: 4.050 4.050 6.411
angles: 108.41 108.41 90.00
Positions (direct):
Ag  0.500  0.500  0.000
Ag  0.735  0.735  0.471
Ag  0.265  0.265  0.529
Er  0.000  0.000  0.000

Values from the calculation:
Energy relative to the elements = 0.72 eV per formula unit
Final energy = -3.099 eV/atom
Space-group type = No. 139

[9]
Entry from the Alexandria database: Sr2ScPb after structural relaxation (GGA-PBE).

abc: 9.370 9.370 7.440
angles: 50.97 50.97 90.00
Positions (direct):
Sr  0.099  0.625  0.250
Sr  0.875  0.901  0.750
Sr  0.375  0.349  0.750
Sr  0.651  0.125  0.250
Sc  0.500  0.500  0.000
Sc  0.250  0.750  0.500
Pb  0.000  0.000  0.000
Pb  0.750  0.250  0.500

Values from the calculation:
Energy relative to the elements = 0.80 eV per formula unit
Final energy = -3.151 eV/atom
Space-group type = No. 122

[10]
Entry from the Alexandria database: ScHRh3 after structural relaxation (GGA-PBE).

abc: 4.623 4.623 9.906
angles: 76.50 76.50 90.00
Positions (direct):
Rh  0.632  0.877  0.247
Rh  0.121  0.877  0.247
Rh  0.123  0.368  0.753
Rh  0.123  0.879  0.753
Rh  0.361  0.361  0.277
Rh  0.639  0.639  0.723
H  0.869  0.369  0.262
H  0.631  0.131  0.738
Sc  0.250  0.750  0.500
Sc  0.000  0.000  0.000

Values from the calculation:
Final energy = -5.792 eV/atom
Energy relative to the lowest polymorph listed for this composition = 1123.6 meV per atom
Space-group type = No. 119

[11]
Entry from the Alexandria database: Tm2AlFe after structural relaxation (GGA-PBE).

abc: 3.379 3.379 7.040
angles: 90.00 90.00 90.00
Positions (direct):
Al  0.500  0.500  0.500
Tm  0.000  0.000  0.222
Tm  0.000  0.000  0.778
Fe  0.500  0.500  0.000

Values from the calculation:
Energy relative to the elements = -0.71 eV per formula unit
Final energy = -5.465 eV/atom
Energy relative to the lowest polymorph listed for this composition = 0.0 meV per atom
Space-group type = No. 123

[12]
Entry from the Alexandria database: In2AsO5 after structural relaxation (GGA-PBE).

abc: 6.927 8.085 10.091
angles: 73.22 69.93 64.63
Positions (direct):
O  0.848  0.098  0.629
O  0.152  0.902  0.371
O  0.567  0.633  0.385
O  0.037  0.985  0.865
O  0.888  0.515  0.635
O  0.963  0.015  0.135
O  0.415  0.133  0.885
O  0.425  0.598  0.129
O  0.112  0.485  0.365
O  0.700  0.983  0.427
O  0.139  0.715  0.692
O  0.300  0.017  0.573
O  0.454  0.215  0.192
O  0.891  0.483  0.927
O  0.585  0.867  0.115
O  0.109  0.517  0.073
O  0.546  0.785  0.808
O  0.861  0.285  0.308
O  0.433  0.367  0.615
O  0.575  0.402  0.871
In  0.228  0.597  0.489
In  0.686  0.097  0.989
In  0.747  0.565  0.158
In  0.772  0.403  0.511
In  0.314  0.903  0.011
In  0.530  0.065  0.658
In  0.470  0.935  0.342
In  0.253  0.435  0.842
As  0.084  0.949  0.692
As  0.725  0.551  0.808
As  0.916  0.051  0.308
As  0.275  0.449  0.192

Values from the calculation:
Final energy = -5.681 eV/atom
Space-group type = No. 15
Formation energy from raw total energies = -1316 meV/atom